[1]
The following is a DFT calculation (PBE-GGA) of a relaxed structure of LiSe.

Unit cell a=6.8157 b=6.8157 c=4.3349 alpha=90.00 beta=90.00 gamma=156.85
Last column: nearest neighbours and their distance in Å.
Fractional positions:
Li1 0.6745 0.3255 0.7500  5 Se 2.64-2.67, 2 Li 2.74
Li2 0.3255 0.6745 0.2500  5 Se 2.64-2.67, 2 Li 2.74
Se1 0.8743 0.1257 0.7500  5 Li 2.64-2.67, 2 Se 2.74
Se2 0.1257 0.8743 0.2500  5 Li 2.64-2.67, 2 Se 2.74

E	-3.535	eV/atom
uncorrected formation energy	-0.836	eV per atom
E above lowest polymorph	7.1	kJ/mol of atoms
Fermi-level density of states	0.85	states/eV/f.u.


[2]
The following is a DFT calculation (PBE-GGA) of a relaxed structure of Cd7Ga2Ag2.

Unit cell a=7.2111 b=5.7516 c=5.7516 alpha=96.60 beta=82.66 gamma=82.66
Last column: nearest neighbours and their distance in Å.
Fractional positions:
Cd1 0.1939 0.0956 0.4766  3 Ag 2.95-3.01, 2 Ga 2.99-3.01, 6 Cd 3.12-3.29
Cd2 0.8061 0.5234 0.9044  3 Ag 2.95-3.01, 2 Ga 2.99-3.01, 6 Cd 3.12-3.29
Cd3 0.8061 0.9044 0.5234  3 Ag 2.95-3.01, 2 Ga 2.99-3.01, 6 Cd 3.12-3.29
Cd4 0.1939 0.4766 0.0956  3 Ag 2.95-3.01, 2 Ga 2.99-3.01, 6 Cd 3.12-3.29
Cd5 0.0000 0.0000 0.0000  2 Ag 2.95, 10 Cd 3.07-3.29
Cd6 0.4244 0.8428 0.8428  2 Cd 2.83-3.07, 1 Ag 2.89, 4 Ga 3.00-3.10
Cd7 0.5756 0.1572 0.1572  2 Cd 2.83-3.07, 1 Ag 2.89, 4 Ga 3.00-3.10
Ga1 0.5000 0.3215 0.6785  2 Ag 2.94, 8 Cd 2.99-3.10, 1 Ga 3.07
Ga2 0.5000 0.6785 0.3215  2 Ag 2.94, 8 Cd 2.99-3.10, 1 Ga 3.07
Ag1 0.8497 0.3874 0.3874  8 Cd 2.89-3.01, 2 Ga 2.94, 1 Ag 3.02
Ag2 0.1503 0.6126 0.6126  8 Cd 2.89-3.01, 2 Ga 2.94, 1 Ag 3.02

E	-1.644	eV/atom
DFT formation energy	0.01	eV/atom
Fermi-level density of states	2.46	states/eV/f.u.


[3]
The following is a DFT calculation (PBE-GGA) of a relaxed structure of Er5In2Si2.

Unit cell a=7.5602 b=7.5784 c=8.7145 alpha=90.00 beta=64.29 gamma=90.00
Last column: nearest neighbours and their distance in Å.
Fractional positions:
Er1 0.0000 0.0000 0.0000  4 Si 3.01-3.03, 4 Er 3.37
Er2 0.5000 0.5000 0.0000  4 Si 3.01-3.03, 4 Er 3.37
Er3 0.4402 0.1803 0.7525  3 Si 2.88-3.04, 3 In 3.11-3.19
Er4 0.8072 0.8197 0.7525  3 Si 2.88-3.04, 3 In 3.11-3.19
Er5 0.3072 0.6803 0.7525  3 Si 2.88-3.04, 3 In 3.11-3.19
Er6 0.9402 0.3197 0.7525  3 Si 2.88-3.04, 3 In 3.11-3.19
Er7 0.5598 0.8197 0.2475  3 Si 2.88-3.04, 3 In 3.11-3.19
Er8 0.1928 0.1803 0.2475  3 Si 2.88-3.04, 3 In 3.11-3.19
Er9 0.6928 0.3197 0.2475  3 Si 2.88-3.04, 3 In 3.11-3.19
Er10 0.0598 0.6803 0.2475  3 Si 2.88-3.04, 3 In 3.11-3.19
In1 0.2219 0.0000 0.5563  6 Er 3.11-3.19
In2 0.7219 0.5000 0.5563  6 Er 3.11-3.19
In3 0.7781 0.0000 0.4437  6 Er 3.11-3.19
In4 0.2781 0.5000 0.4437  6 Er 3.11-3.19
Si1 0.1184 0.3794 0.0000  1 Si 2.56
Si2 0.8816 0.6206 0.0000  1 Si 2.56
Si3 0.3816 0.8794 0.0000  1 Si 2.56
Si4 0.6184 0.1206 0.0000  1 Si 2.56

E	-4.918	eV/atom
uncorrected formation energy	-0.569	eV per atom
Fermi-level density of states	6.70	states/eV/f.u.


[4]
The following is a DFT calculation (PBE-GGA) of a relaxed structure of TaCd.

Unit cell a=5.8746 b=5.8746 c=7.4332 alpha=77.01 beta=77.01 gamma=27.98
Last column: nearest neighbours and their distance in Å.
Fractional positions:
Ta1 0.0009 0.0009 0.9758  6 Ta 2.78-3.09, 2 Cd 3.03
Ta2 0.9370 0.9370 0.6367  5 Ta 2.78-2.99, 5 Cd 3.00-3.10
Ta3 0.2748 0.2748 0.9526  7 Ta 2.84-3.09, 5 Cd 3.05-3.10
Cd1 0.6052 0.6052 0.2841  6 Cd 2.84-3.15, 4 Ta 3.10-3.15
Cd2 0.3446 0.3446 0.3250  7 Cd 2.84-3.15, 5 Ta 3.05-3.13
Cd3 0.6709 0.6709 0.6591  5 Cd 2.84-3.13, 7 Ta 3.00-3.06

E	-6.113	eV/atom
DFT formation energy	0.27	eV/atom
Fermi-level density of states	1.27	states/eV/f.u.